(1)
Entry from the Alexandria database: LiMgAlCr2 after structural relaxation (PBE).

Cell and atoms, written as extended XYZ:
```
5
Lattice="4.894 0.000 0.000 0.000 4.894 0.000 0.000 0.000 5.107" Properties=species:S:1:pos:R:3 pbc="T T T"
Li 0.000 0.000 0.000
Mg 2.447 2.447 0.000
Al 2.447 2.447 2.554
Cr 0.000 2.447 2.554
Cr 2.447 0.000 2.554
```

Output
- Formation energy from the elements: 4.5 eV/f.u.
- Total energy: -4.39 eV/atom
- Fermi-level density of states: 0.49 states/eV/atom
- Space group: P4/mmm

(2)
Entry from the Alexandria database: YMg4Cl after structural relaxation (PBE).

Cell and atoms, written as extended XYZ:
```
6
Lattice="0.000 4.291 4.291 4.291 0.000 4.291 4.291 4.291 0.000" Properties=species:S:1:pos:R:3 pbc="T T T"
Y 0.000 0.000 0.000
Mg 3.203 3.203 3.203
Mg 5.379 5.379 3.203
Mg 5.379 3.203 5.379
Mg 3.203 5.379 5.379
Cl 6.436 6.436 6.436
```

Output
- Formation energy (no corrections): -27.8 meV per atom
- Total energy: -2.48 eV/atom
- Fermi-level density of states: 0.77 states/eV/atom
- Space group: F-43m

(3)
Entry from the Alexandria database: LaYCd2 after structural relaxation (PBE).

Cell and atoms, written as extended XYZ:
```
4
Lattice="3.779 0.000 0.000 0.000 3.792 0.000 0.000 0.000 7.917" Properties=species:S:1:pos:R:3 pbc="T T T"
La 0.000 0.000 0.000
Y 0.000 0.000 3.959
Cd 1.890 1.896 2.159
Cd 1.890 1.896 5.758
```

Output
- Formation energy from the elements: -1.3 eV/f.u.
- Total energy: -3.64 eV/atom
- ΔE to the lowest computed polymorph: 0 meV/atom
- Fermi-level density of states: 1.17 states/eV/atom
- Space group: Pmmm